1.
A plane-wave DFT calculation with GGA-PBE was carried out for a relaxed Th5CoOsPt2 crystal.

Geometry as POSCAR:
```
Th5CoOsPt2
1.0
2.2351 -8.5338 0.0000
2.2351 8.5338 0.0000
0.0000 0.0000 11.7654
Th Co Os Pt
10 2 2 4
Cartesian
2.2351 8.3337 5.8827
2.2351 5.9797 8.9686
2.2351 5.3531 1.5894
2.2351 4.7348 5.2131
2.2351 0.2666 8.7437
2.2351 -0.2666 2.8610
2.2351 -4.7348 11.0958
2.2351 -5.3531 7.4721
2.2351 -5.9797 3.0859
2.2351 -8.3337 0.0000
2.2351 7.0713 3.6436
2.2351 -7.0713 9.5263
2.2351 3.2436 9.3553
2.2351 -3.2436 3.4726
2.2351 2.3508 0.9549
2.2351 1.7222 5.2861
2.2351 -1.7222 11.1688
2.2351 -2.3508 6.8376
```

Properties
Raw total energy: -146.579 eV/cell
Spin magnetization: 0.00 Bohr magnetons per cell

2.
A plane-wave DFT calculation with GGA-PBE was carried out for a relaxed ZnCoOsPt2 crystal.

Geometry as POSCAR:
```
ZnCoOsPt2
1.0
4.5043 0.0000 0.0000
0.0000 4.5043 0.0000
0.0000 0.0000 4.2884
Zn Co Os Pt
1 1 1 2
Cartesian
0.0000 0.0000 0.0000
0.0000 0.0000 2.1442
2.2522 2.2522 0.0000
0.0000 2.2522 2.1442
2.2522 0.0000 2.1442
```

Properties
Raw total energy: -25.156 eV/cell
Spin magnetization: 4.12 Bohr magnetons per cell